Entry 1:
{"formula": "DyZr2Al", "functional": "PBE", "state": "optimized geometry", "cell": [[-0.208, -0.505, 4.427], [4.490, -0.220, 0.186], [0.197, 4.464, 0.519]], "species": ["Al", "Zr", "Zr", "Dy"], "fractional_positions": [[0.500, 0.000, 0.000], [0.000, 0.000, 0.500], [0.000, 0.500, 0.000], [0.500, 0.500, 0.500]], "delta_e_f_mev_per_atom": -193, "energy_ev_per_atom": -6.5534, "space_group": "P4/mmm, No. 123", "m_tot_mub_per_fu": 0.00, "de_polymorph_mev_per_atom": 0}

***

Entry 2:
{"formula": "Tb8AlGa6", "functional": "PBE", "state": "optimized geometry", "cell": [[8.757, 0.000, 0.000], [4.378, 7.584, 0.000], [4.378, 2.528, 5.960]], "species": ["Tb", "Tb", "Tb", "Tb", "Tb", "Tb", "Tb", "Tb", "Al", "Ga", "Ga", "Ga", "Ga", "Ga", "Ga"], "fractional_positions": [[0.621, 0.173, 0.323], [0.827, 0.117, 0.677], [0.117, 0.379, 0.677], [0.674, 0.674, 0.979], [0.326, 0.326, 0.021], [0.883, 0.621, 0.323], [0.173, 0.883, 0.323], [0.379, 0.827, 0.677], [0.000, 0.000, 0.000], [0.412, 0.056, 0.828], [0.944, 0.296, 0.172], [0.296, 0.588, 0.172], [0.704, 0.412, 0.828], [0.056, 0.704, 0.828], [0.588, 0.944, 0.172]], "delta_e_f_mev_per_atom": -365, "energy_ev_per_atom": -4.2947, "space_group": "R-3, No. 148", "m_tot_mub_per_fu": 0.00}

***

Entry 3:
{"formula": "TbInF", "functional": "PBE", "state": "optimized geometry", "cell": [[3.313, 0.000, 0.000], [0.000, 3.313, 0.000], [-1.657, -1.657, 5.993]], "species": ["In", "Tb", "F"], "fractional_positions": [[0.007, 0.007, 0.015], [0.723, 0.723, 0.446], [0.270, 0.270, 0.539]], "energy_ev_per_atom": -4.6407, "e_form_raw_ev_per_atom": -1.56, "space_group": "I4mm, No. 107", "m_tot_mub_per_fu": 0.00}

***

Entry 4:
{"formula": "SrPaHg", "functional": "PBE", "state": "optimized geometry", "cell": [[3.454, 0.000, 0.000], [-1.727, 2.990, 0.000], [0.000, 0.000, 17.179]], "species": ["Hg", "Hg", "Pa", "Pa", "Sr", "Sr"], "fractional_positions": [[0.610, 0.219, 0.000], [0.279, 0.558, 0.500], [0.612, 0.225, 0.349], [0.612, 0.225, 0.651], [0.277, 0.553, 0.838], [0.277, 0.553, 0.162]], "delta_e_f_mev_per_atom": 295, "energy_ev_per_atom": -3.5311, "space_group": "Amm2, No. 38", "m_tot_mub_per_fu": 0.00}

***

Entry 5:
{"formula": "YHo4Tl4", "functional": "PBE", "state": "optimized geometry", "cell": [[-5.130, -0.471, 2.754], [3.440, -7.109, 5.193], [2.934, 6.183, 6.520]], "species": ["Y", "Y", "Ho", "Ho", "Ho", "Ho", "Ho", "Ho", "Ho", "Ho", "Tl", "Tl", "Tl", "Tl", "Tl", "Tl", "Tl", "Tl"], "fractional_positions": [[0.000, 0.000, 0.000], [0.500, 0.500, 0.500], [0.385, 0.421, 0.843], [0.885, 0.657, 0.921], [0.385, 0.579, 0.157], [0.115, 0.079, 0.657], [0.615, 0.843, 0.579], [0.115, 0.921, 0.343], [0.885, 0.343, 0.079], [0.615, 0.157, 0.421], [0.608, 0.897, 0.209], [0.608, 0.103, 0.791], [0.108, 0.709, 0.603], [0.892, 0.397, 0.709], [0.892, 0.603, 0.291], [0.392, 0.209, 0.103], [0.392, 0.791, 0.897], [0.108, 0.291, 0.397]], "delta_e_f_mev_per_atom": -156, "energy_ev_per_atom": -3.9600, "space_group": "P4_2/n, No. 86", "m_tot_mub_per_fu": 0.00}

***

Entry 6:
{"formula": "BeCdPt3", "functional": "PBE", "state": "optimized geometry", "cell": [[5.078, 0.000, 0.000], [0.000, 5.078, 0.000], [2.539, 2.539, 7.145]], "species": ["Be", "Be", "Pt", "Pt", "Pt", "Pt", "Pt", "Pt", "Cd", "Cd"], "fractional_positions": [[0.000, 0.000, 0.000], [0.250, 0.750, 0.500], [0.625, 0.876, 0.248], [0.124, 0.375, 0.752], [0.124, 0.873, 0.752], [0.127, 0.876, 0.248], [0.300, 0.300, 0.400], [0.700, 0.700, 0.600], [0.583, 0.083, 0.834], [0.917, 0.417, 0.166]], "delta_e_f_mev_per_atom": 21, "energy_ev_per_atom": -4.5322, "space_group": "I-4m2, No. 119", "m_tot_mub_per_fu": 0.00, "de_polymorph_mev_per_atom": 459}